The following is a DFT calculation (GGA-PBE) of Li2PaPbBr8 after structural relaxation.

Summary:
Magnetization = 1.01 Bohr magnetons per cell
Theoretical density = 4.22 g/cm3
Formation energy from raw total energies = -1.33 eV/atom

a = 7.0677 Å, b = 7.3018 Å, c = 8.9171 Å
α = 72.60°, β = 89.75°, γ = 78.30°
Closest atoms and distances in Å follow each position.
Space group P-1 (No. 2)
One atom of each set of equivalent atoms:
Li 0.0390 0.1444 0.3273 x2  4 Br 2.51-2.70
Pa 0.5000 0.5000 0.0000 x1  6 Br 2.78-2.88
Pb 0.5000 0.5000 0.5000 x1  6 Br 3.01-3.13
Br 0.1080 0.7724 0.4385 x2  2 Li 2.51-2.54
Br 0.1369 0.7503 0.9446 x2  1 Li 2.56, 1 Pa 2.78
Br 0.3790 0.2634 0.2893 x2  1 Li 2.70, 1 Pa 2.88
Br 0.3791 0.2784 0.8242 x2  1 Pa 2.81, 1 Pb 3.07

---

The following is a DFT calculation (GGA-PBE) of Rb2Li3PaBr12 after structural relaxation.

Summary:
Magnetization = 6.24 Bohr magnetons per cell
Theoretical density = 3.21 g/cm3
Formation energy from raw total energies = -1.27 eV/atom

a = 8.1089 Å, b = 8.1089 Å, c = 37.6886 Å
α = 90.00°, β = 90.00°, γ = 120.00°
Closest atoms and distances in Å follow each position.
Space group R-3m (No. 166, hexagonal axes)
One atom of each set of equivalent atoms:
Rb 0.0000 0.0000 0.0961 x6  3 Br 3.51
Li 0.0000 0.5000 0.0000 x9  4 Br 2.56
Pa 0.0000 0.0000 0.5000 x3  6 Br 2.73
Br 0.0150 0.5075 0.1253 x18  1 Pa 2.73
Br 0.0332 0.5166 0.3663 x18  2 Li 2.56

---

The following is a DFT calculation (GGA-PBE) of RbLiPaBr6 after structural relaxation.

Summary:
Magnetization = 2.01 Bohr magnetons per cell
Theoretical density = 3.76 g/cm3
Formation energy from raw total energies = -1.58 eV/atom

a = 7.2655 Å, b = 7.2655 Å, c = 15.5134 Å
α = 90.00°, β = 90.00°, γ = 120.00°
Closest atoms and distances in Å follow each position.
Space group P-31c (No. 163)
One atom of each set of equivalent atoms:
Rb 0.0000 0.0000 0.0000 x2  6 Br 3.51
Li 0.3333 0.6667 0.2500 x2  6 Br 2.81
Pa 0.3333 0.6667 0.7500 x2  6 Br 2.82
Br 0.0014 0.3691 0.1461 x12  1 Li 2.81, 1 Pa 2.82

---

Q: The highest formation energy from raw total energies belongs to which entry?
A: Rb2Li3PaBr12

---

Q: What is the theoretical density in the second record?
A: 3.21 g/cm3

---

Q: Number 1 is which compound?
A: Li2PaPbBr8